DFT (PBE-GGA) results for an optimized crystal structure of Pr5BiTe5.

Output
N(E_F) (states/eV/f.u.): 4.27
Formation energy from raw total energies (meV/atom): -1380

a = 6.444 Å, b = 9.067 Å, c = 7.844 Å
α = 106.67°, β = 114.25°, γ = 90.00°
Positions (direct):
Pr: 0.165 0.828 0.331
Pr: 0.166 0.336 0.331
Pr: 0.500 0.000 0.000
Pr: 0.834 0.664 0.669
Pr: 0.835 0.172 0.669
Bi: 0.000 0.000 0.000
Te: 0.337 0.664 0.675
Te: 0.333 0.169 0.667
Te: 0.000 0.500 0.000
Te: 0.667 0.831 0.333
Te: 0.663 0.336 0.325